Density functional theory data (SCAN) for a PBEsol-optimized structure of Sb3MoC.

V ... 26.8 Å³ per atom
Space-group type ... Pm-3m
Final energy ... -148.37 eV for the cell shown
Energy relative to the elements, uncorrected ... 1.68 eV per atom

a b c (Å): 5.117 5.117 5.117
angles (deg): 90.00 90.00 90.00
Last column: magnetic moment on the atom in μB.
Sites, in units of the cell vectors:
Sb1 0.000 0.500 0.000  -0.07
Sb2 0.000 0.000 0.500  -0.07
Sb3 0.500 0.000 0.000  -0.07
Mo1 0.000 0.000 0.000  0.33
C1 0.500 0.500 0.500  0.99

***

Density functional theory data (SCAN) for a PBEsol-optimized structure of Sb2TeMoC.

V ... 19.4 Å³ per atom
Space-group type ... P4/mmm
Final energy ... -149.94 eV for the cell shown
Energy relative to the elements, uncorrected ... 1.36 eV per atom

a b c (Å): 4.562 4.562 4.657
angles (deg): 90.00 90.00 90.00
Last column: magnetic moment on the atom in μB.
Sites, in units of the cell vectors:
Sb1 0.000 0.500 0.000  -0.07
Sb2 0.500 0.000 0.000  -0.07
Mo1 0.500 0.500 0.500  2.56
Te1 0.000 0.000 0.500  -0.08
C1 0.000 0.000 0.000  -0.12

***

Density functional theory data (SCAN) for a PBEsol-optimized structure of ScMo3C.

V ... 14.7 Å³ per atom
Energy above the most stable polymorph in this dataset ... 0 meV per atom
E_form ... 0.078 eV/atom
Space-group type ... Pm-3m
Final energy ... -128.60 eV for the cell shown

a b c (Å): 4.186 4.186 4.186
angles (deg): 90.00 90.00 90.00
Sites, in units of the cell vectors:
Sc1 0.500 0.500 0.500
Mo1 0.000 0.500 0.000
Mo2 0.000 0.000 0.500
Mo3 0.500 0.000 0.000
C1 0.000 0.000 0.000

***

Density functional theory data (SCAN) for a PBEsol-optimized structure of ScMo3C.

V ... 18.0 Å³ per atom
Energy above the most stable polymorph in this dataset ... 3367 meV per atom
E_form ... 3.445 eV/atom
Space-group type ... Pm-3m
Final energy ... -111.77 eV for the cell shown

a b c (Å): 4.482 4.482 4.482
angles (deg): 90.00 90.00 90.00
Sites, in units of the cell vectors:
Sc1 0.000 0.000 0.000
Mo1 0.000 0.500 0.000
Mo2 0.000 0.000 0.500
Mo3 0.500 0.000 0.000
C1 0.500 0.500 0.500

***

Density functional theory data (SCAN) for a PBEsol-optimized structure of TlMo2CSe.

V ... 21.2 Å³ per atom
Space-group type ... P4/mmm
Final energy ... -159.49 eV for the cell shown
Energy relative to the elements, uncorrected ... 2.56 eV per atom

a b c (Å): 3.875 5.226 5.226
angles (deg): 90.00 90.00 90.00
Last column: magnetic moment on the atom in μB.
Sites, in units of the cell vectors:
C1 0.500 0.000 0.000  -0.41
Tl1 0.000 0.000 0.000  0.02
Mo1 0.000 0.000 0.500  3.31
Mo2 0.000 0.500 0.000  3.31
Se1 0.500 0.500 0.500  -0.23

***

Density functional theory data (SCAN) for a PBEsol-optimized structure of SiMoC3.

V ... 9.8 Å³ per atom
Energy above the most stable polymorph in this dataset ... 0 meV per atom
Space-group type ... Pm-3m
Final energy ... -65.34 eV for the cell shown
Energy relative to the elements, uncorrected ... 1.97 eV per atom

a b c (Å): 3.662 3.662 3.662
angles (deg): 90.00 90.00 90.00
Last column: magnetic moment on the atom in μB.
Sites, in units of the cell vectors:
C1 0.000 0.500 0.000  -0.02
C2 0.000 0.000 0.500  -0.02
C3 0.500 0.000 0.000  -0.02
Mo1 0.500 0.500 0.500  1.87
Si1 0.000 0.000 0.000  0.02

***

Density functional theory data (SCAN) for a PBEsol-optimized structure of SiMoC3.

V ... 13.2 Å³ per atom
Energy above the most stable polymorph in this dataset ... 277 meV per atom
Space-group type ... Pm-3m
Final energy ... -63.95 eV for the cell shown
Energy relative to the elements, uncorrected ... 2.25 eV per atom

a b c (Å): 4.042 4.042 4.042
angles (deg): 90.00 90.00 90.00
Sites, in units of the cell vectors:
C1 0.000 0.500 0.000
C2 0.000 0.000 0.500
C3 0.500 0.000 0.000
Mo1 0.000 0.000 0.000
Si1 0.500 0.500 0.500

***

Density functional theory data (SCAN) for a PBEsol-optimized structure of Sm2Mo2C3.

V ... 15.2 Å³ per atom
E_form ... -0.318 eV/atom
Space-group type ... C2/m
Final energy ... -191.18 eV for the cell shown

a b c (Å): 3.409 5.761 5.897
angles (deg): 105.74 106.80 90.00
Sites, in units of the cell vectors:
Mo1 0.152 0.382 0.304
Mo2 0.848 0.618 0.696
C1 0.000 0.500 0.000
C2 0.274 0.733 0.547
C3 0.726 0.267 0.453
Sm1 0.388 0.176 0.777
Sm2 0.612 0.824 0.223

***

> What is the formula in the fourth record?

ScMo3C

***

Copy entry 8 word for word.
Density functional theory data (SCAN) for a PBEsol-optimized structure of Sm2Mo2C3.

V ... 15.2 Å³ per atom
E_form ... -0.318 eV/atom
Space-group type ... C2/m
Final energy ... -191.18 eV for the cell shown

a b c (Å): 3.409 5.761 5.897
angles (deg): 105.74 106.80 90.00
Sites, in units of the cell vectors:
Mo1 0.152 0.382 0.304
Mo2 0.848 0.618 0.696
C1 0.000 0.500 0.000
C2 0.274 0.733 0.547
C3 0.726 0.267 0.453
Sm1 0.388 0.176 0.777
Sm2 0.612 0.824 0.223

***

> What is the formula in the eighth record?

Sm2Mo2C3